A plane-wave DFT calculation with PBEsol was carried out for crystalline K4Ca at its relaxed geometry.

Geometry as CIF:
```
data_K4Ca
_cell_length_a 9.333
_cell_length_b 9.333
_cell_length_c 9.333
_cell_angle_alpha 90.00
_cell_angle_beta 90.00
_cell_angle_gamma 90.00
_space_group_name_H-M_alt 'I m -3 m'
_space_group_IT_number 229
_space_group_name_Hall '-I 4 2 3'
loop_
_atom_site_label
_atom_site_type_symbol
_atom_site_fract_x
_atom_site_fract_y
_atom_site_fract_z
_atom_site_occupancy
K1 K 0.250 0.250 0.250 1
Ca1 Ca 0.000 0.000 0.000 1
```

Magnetic moment (μB per formula unit): 0.00
DOS(E_F) (states/eV per cell): 9.1
Energy of formation (eV per atom): 0.29
Calculated total energy (eV per atom): -1.042